*one*
The following is a DFT calculation (PBE) of an optimized crystal structure of ZrCuSN2.

## Properties
Space group = P4/mmm (123)

Cell and atoms, written as POSCAR:
```
ZrCuSN2
1.0
3.8264 0.0000 0.0000
0.0000 3.8264 0.0000
0.0000 0.0000 4.3543
Zr Cu S N
1 1 1 2
Cartesian
0.0000 0.0000 0.0000 Zr
1.9132 1.9132 2.1771 Cu
1.9132 1.9132 0.0000 S
0.0000 1.9132 2.1771 N
1.9132 0.0000 2.1771 N
```

***

*two*
The following is a DFT calculation (PBE) of an optimized crystal structure of ZrCuSN2.

## Properties
Space group = P4/mmm (123)

Cell and atoms, written as POSCAR:
```
ZrCuSN2
1.0
4.1485 0.0000 0.0000
0.0000 4.1485 0.0000
0.0000 0.0000 5.2361
Zr Cu S N
1 1 1 2
Cartesian
0.0000 0.0000 0.0000 Zr
2.0743 2.0743 2.6181 Cu
0.0000 0.0000 2.6181 S
0.0000 2.0743 0.0000 N
2.0743 0.0000 0.0000 N
```

***

From most stable to least stable, the computed energies give *one*, *two*.

***

*one*
The following is a DFT calculation (PBE) of an optimized crystal structure of ZrCuS2N.

## Properties
Space group = P4/mmm (123)

Cell and atoms, written as POSCAR:
```
ZrCuS2N
1.0
4.5394 0.0000 0.0000
0.0000 4.5394 0.0000
0.0000 0.0000 3.6859
Zr Cu S N
1 1 2 1
Cartesian
0.0000 0.0000 0.0000 Zr
2.2697 2.2697 1.8430 Cu
0.0000 2.2697 1.8430 S
2.2697 0.0000 1.8430 S
2.2697 2.2697 0.0000 N
```

***

*two*
The following is a DFT calculation (PBE) of an optimized crystal structure of ZrCuS2N.

## Properties
Space group = P4/mmm (123)

Cell and atoms, written as POSCAR:
```
ZrCuS2N
1.0
5.0362 0.0000 0.0000
0.0000 5.0362 0.0000
0.0000 0.0000 4.1109
Zr Cu S N
1 1 2 1
Cartesian
0.0000 0.0000 0.0000 Zr
2.5181 2.5181 2.0554 Cu
0.0000 2.5181 0.0000 S
2.5181 0.0000 0.0000 S
0.0000 0.0000 2.0554 N
```

***

From most stable to least stable, the computed energies give *two*, *one*.

***

*one*
The following is a DFT calculation (PBE) of an optimized crystal structure of Cu3SbN.

## Properties
Space group = Pm-3m (221)

Cell and atoms, written as POSCAR:
```
Cu3SbN
1.0
4.8998 0.0000 0.0000
0.0000 4.8998 0.0000
0.0000 0.0000 4.8998
Cu Sb N
3 1 1
Cartesian
0.0000 0.0000 2.4499 Cu
0.0000 2.4499 0.0000 Cu
2.4499 0.0000 0.0000 Cu
0.0000 0.0000 0.0000 Sb
2.4499 2.4499 2.4499 N
```

***

*two*
The following is a DFT calculation (PBE) of an optimized crystal structure of Cu3SbN.

## Properties
Space group = Pm-3m (221)

Cell and atoms, written as POSCAR:
```
Cu3SbN
1.0
4.0977 0.0000 0.0000
0.0000 4.0977 0.0000
0.0000 0.0000 4.0977
Cu Sb N
3 1 1
Cartesian
0.0000 0.0000 2.0488 Cu
0.0000 2.0488 0.0000 Cu
2.0488 0.0000 0.0000 Cu
2.0488 2.0488 2.0488 Sb
0.0000 0.0000 0.0000 N
```

***

From most stable to least stable, the computed energies give *two*, *one*.

***

*one*
The following is a DFT calculation (PBE) of an optimized crystal structure of Cu2SbN.

## Properties
Space group = Fm-3m (225)

Cell and atoms, written as POSCAR:
```
Cu2SbN
1.0
0.0000 3.0525 3.0525
3.0525 0.0000 3.0525
3.0525 3.0525 0.0000
Cu Sb N
2 1 1
Cartesian
1.5262 1.5262 1.5262 Cu
4.5787 4.5787 4.5787 Cu
0.0000 0.0000 0.0000 Sb
3.0525 3.0525 3.0525 N
```

***

*two*
The following is a DFT calculation (PBE) of an optimized crystal structure of Cu2SbN.

## Properties
Space group = I-42d (122)

Cell and atoms, written as POSCAR:
```
Cu2SbN
1.0
-2.4104 2.4104 5.5709
2.4104 -2.4104 5.5709
2.4104 2.4104 -5.5709
Cu Sb N
4 2 2
Cartesian
0.3317 1.2052 1.3927 Cu
-1.2052 2.0787 4.1782 Cu
-0.3317 3.6156 1.3927 Cu
1.2052 2.7421 4.1782 Cu
2.4104 0.0000 2.7854 Sb
0.0000 0.0000 5.5709 Sb
0.0000 0.0000 0.0000 N
0.0000 2.4104 2.7854 N
```

***

From most stable to least stable, the computed energies give *two*, *one*.

***

*one*
The following is a DFT calculation (PBE) of an optimized crystal structure of CuSbSe2N.

## Properties
Space group = P4/mmm (123)

Cell and atoms, written as POSCAR:
```
CuSbSe2N
1.0
5.0452 0.0000 0.0000
0.0000 5.0452 0.0000
0.0000 0.0000 3.6979
Cu Sb Se N
1 1 2 1
Cartesian
0.0000 0.0000 0.0000 Cu
2.5226 2.5226 1.8490 Sb
0.0000 2.5226 0.0000 Se
2.5226 0.0000 0.0000 Se
0.0000 0.0000 1.8490 N
```

***

*two*
The following is a DFT calculation (PBE) of an optimized crystal structure of CuSbSe2N.

## Properties
Space group = P4/mmm (123)

Cell and atoms, written as POSCAR:
```
CuSbSe2N
1.0
5.3610 0.0000 0.0000
0.0000 5.3610 0.0000
0.0000 0.0000 3.8987
Cu Sb Se N
1 1 2 1
Cartesian
0.0000 0.0000 0.0000 Cu
2.6805 2.6805 1.9493 Sb
0.0000 2.6805 1.9493 Se
2.6805 0.0000 1.9493 Se
2.6805 2.6805 0.0000 N
```

***

From most stable to least stable, the computed energies give *one*, *two*.